1.
Here is a relaxed structure of CaScBr from Alexandria. Energies are from GGA-PBE.

CIF file:
```
data_CaScBr
_space_group_name_H-M_alt 'F m m 2'
_space_group_IT_number 42
_space_group_name_Hall 'F 2 -2'
_cell_length_a 3.868
_cell_length_b 5.996
_cell_length_c 14.437
_cell_angle_alpha 90.00
_cell_angle_beta 90.00
_cell_angle_gamma 90.00
loop_
_atom_site_label
_atom_site_fract_x
_atom_site_fract_y
_atom_site_fract_z
_atom_site_occupancy
Ca1 0.000 0.000 0.000 1
Sc1 0.000 0.000 0.317 1
Br1 0.000 0.000 0.668 1
```

Computed properties:
The magnetization is 0.00 μB per formula unit. Its crystal system is orthorhombic. As for the uncorrected formation energy: -0.574 eV/atom. As for the density of states at the Fermi level: 1.698 states/eV/f.u. Its total energy is -0.14365 hartree per atom.

---

2.
Here is a relaxed structure of CaScBr2 from Alexandria. Energies are from GGA-PBE.

CIF file:
```
data_CaScBr2
_space_group_name_H-M_alt 'C 1 m 1'
_space_group_IT_number 8
_cell_length_a 9.682
_cell_length_b 3.644
_cell_length_c 6.903
_cell_angle_alpha 90.00
_cell_angle_beta 108.43
_cell_angle_gamma 90.00
loop_
_space_group_symop_operation_xyz
'x,y,z'
'x,-y,z'
'x+1/2,y+1/2,z'
'x+1/2,-y+1/2,z'
loop_
_atom_site_label
_atom_site_fract_x
_atom_site_fract_y
_atom_site_fract_z
_atom_site_occupancy
Ca1 0.000 0.000 0.000 1
Sc1 0.285 0.000 0.593 1
Br1 0.081 0.500 0.642 1
Br2 0.262 0.500 0.253 1
```

Computed properties:
The magnetization is 0.88 μB per formula unit. Its crystal system is monoclinic. As for the uncorrected formation energy: -0.968 eV/atom. As for the density of states at the Fermi level: 2.924 states/eV/f.u. Its total energy is -0.14286 hartree per atom.

---

3.
Here is a relaxed structure of CaScBr4 from Alexandria. Energies are from GGA-PBE.

CIF file:
```
data_CaScBr4
_space_group_name_H-M_alt 'F -4 3 m'
_space_group_IT_number 216
_space_group_name_Hall 'F -4 2 3'
_cell_length_a 9.040
_cell_length_b 9.040
_cell_length_c 9.040
_cell_angle_alpha 90.00
_cell_angle_beta 90.00
_cell_angle_gamma 90.00
loop_
_atom_site_label
_atom_site_fract_x
_atom_site_fract_y
_atom_site_fract_z
_atom_site_occupancy
Ca1 0.000 0.000 0.000 1
Sc1 0.250 0.250 0.750 1
Br1 0.125 0.125 0.375 1
```

Computed properties:
The magnetization is 1.01 μB per formula unit. Its crystal system is cubic. As for the uncorrected formation energy: -0.084 eV/atom. As for the density of states at the Fermi level: 12.103 states/eV/f.u. Its total energy is -0.09512 hartree per atom.